Model A:
Entry from the Alexandria database: an optimized crystal structure of BrCl5 (PBE).

Structure (CIF):
```
data_BrCl5
_symmetry_space_group_name_H-M 'P 1'
_symmetry_Int_Tables_number 1
_symmetry_space_group_name_Hall 'P 1'
_cell_length_a 5.830
_cell_length_b 5.830
_cell_length_c 5.830
_cell_angle_alpha 60.00
_cell_angle_beta 60.00
_cell_angle_gamma 60.00
loop_
_atom_site_label
_atom_site_fract_x
_atom_site_fract_y
_atom_site_fract_z
Br1 0.000 0.000 0.000
Cl1 0.375 0.375 0.375
Cl2 0.375 0.375 0.875
Cl3 0.375 0.875 0.375
Cl4 0.750 0.750 0.750
Cl5 0.875 0.375 0.375
```

***

Model B:
Entry from the Alexandria database: an optimized crystal structure of BrCl5 (PBE).

Structure (CIF):
```
data_BrCl5
_symmetry_space_group_name_H-M 'P 1'
_symmetry_Int_Tables_number 1
_symmetry_space_group_name_Hall 'P 1'
_cell_length_a 9.376
_cell_length_b 4.373
_cell_length_c 11.661
_cell_angle_alpha 90.00
_cell_angle_beta 100.35
_cell_angle_gamma 90.00
loop_
_atom_site_label
_atom_site_fract_x
_atom_site_fract_y
_atom_site_fract_z
Br1 0.000 0.000 0.000
Br2 0.500 0.500 0.000
Cl1 0.108 0.000 0.651
Cl2 0.154 0.500 0.341
Cl3 0.267 0.500 0.994
Cl4 0.324 0.000 0.669
Cl5 0.438 0.000 0.324
Cl6 0.608 0.500 0.651
Cl7 0.654 0.000 0.341
Cl8 0.767 0.000 0.994
Cl9 0.824 0.500 0.669
Cl10 0.938 0.500 0.324
```

***

Relative energy table, unit kJ/mol of atoms: model A 81.8; model B 0.0

***

Model A:
Entry from the Alexandria database: an optimized crystal structure of Br5Cl3 (PBE).

Structure (CIF):
```
data_Br5Cl3
_symmetry_space_group_name_H-M 'P 1'
_symmetry_Int_Tables_number 1
_symmetry_space_group_name_Hall 'P 1'
_cell_length_a 9.724
_cell_length_b 9.724
_cell_length_c 6.504
_cell_angle_alpha 90.00
_cell_angle_beta 90.00
_cell_angle_gamma 120.00
loop_
_atom_site_label
_atom_site_fract_x
_atom_site_fract_y
_atom_site_fract_z
Br1 0.000 0.194 0.250
Br2 0.000 0.806 0.750
Br3 0.194 0.000 0.250
Br4 0.194 0.194 0.750
Br5 0.333 0.667 0.000
Br6 0.333 0.667 0.500
Br7 0.667 0.333 0.000
Br8 0.667 0.333 0.500
Br9 0.806 0.000 0.750
Br10 0.806 0.806 0.250
Cl1 0.000 0.283 0.750
Cl2 0.000 0.717 0.250
Cl3 0.283 0.000 0.750
Cl4 0.283 0.283 0.250
Cl5 0.717 0.000 0.250
Cl6 0.717 0.717 0.750
```

***

Model B:
Entry from the Alexandria database: an optimized crystal structure of Br5Cl3 (PBE).

Structure (CIF):
```
data_Br5Cl3
_symmetry_space_group_name_H-M 'P 1'
_symmetry_Int_Tables_number 1
_symmetry_space_group_name_Hall 'P 1'
_cell_length_a 9.228
_cell_length_b 9.475
_cell_length_c 10.378
_cell_angle_alpha 102.83
_cell_angle_beta 106.04
_cell_angle_gamma 112.98
loop_
_atom_site_label
_atom_site_fract_x
_atom_site_fract_y
_atom_site_fract_z
Br1 0.000 0.000 0.000
Br2 0.022 0.783 0.783
Br3 0.129 0.468 0.182
Br4 0.166 0.394 0.647
Br5 0.308 0.991 0.802
Br6 0.463 0.920 0.430
Br7 0.543 0.271 0.776
Br8 0.591 0.303 0.241
Br9 0.751 0.610 0.313
Br10 0.978 0.182 0.190
Cl1 0.271 0.743 0.182
Cl2 0.442 0.437 0.873
Cl3 0.661 0.095 0.673
Cl4 0.832 0.537 0.803
Cl5 0.900 0.897 0.382
Cl6 0.946 0.374 0.473
```

***

Relative energy table, unit kJ/mol of atoms: model A 26.5; model B 0.0

***

Model A:
Entry from the Alexandria database: an optimized crystal structure of CoBr3Cl (PBE).

Structure (CIF):
```
data_CoBr3Cl
_symmetry_space_group_name_H-M 'P 1'
_symmetry_Int_Tables_number 1
_symmetry_space_group_name_Hall 'P 1'
_cell_length_a 4.946
_cell_length_b 4.946
_cell_length_c 4.946
_cell_angle_alpha 90.00
_cell_angle_beta 90.00
_cell_angle_gamma 90.00
loop_
_atom_site_label
_atom_site_fract_x
_atom_site_fract_y
_atom_site_fract_z
Co1 0.000 0.000 0.000
Br1 0.000 0.000 0.500
Br2 0.000 0.500 0.000
Br3 0.500 0.000 0.000
Cl1 0.500 0.500 0.500
```

***

Model B:
Entry from the Alexandria database: an optimized crystal structure of CoBr3Cl (PBE).

Structure (CIF):
```
data_CoBr3Cl
_symmetry_space_group_name_H-M 'P 1'
_symmetry_Int_Tables_number 1
_symmetry_space_group_name_Hall 'P 1'
_cell_length_a 7.199
_cell_length_b 6.626
_cell_length_c 7.748
_cell_angle_alpha 90.00
_cell_angle_beta 116.76
_cell_angle_gamma 90.00
loop_
_atom_site_label
_atom_site_fract_x
_atom_site_fract_y
_atom_site_fract_z
Co1 0.136 0.250 0.144
Co2 0.864 0.750 0.856
Br1 0.145 0.000 0.907
Br2 0.145 0.500 0.907
Br3 0.499 0.750 0.735
Br4 0.501 0.250 0.265
Br5 0.855 0.000 0.093
Br6 0.855 0.500 0.093
Cl1 0.197 0.250 0.446
Cl2 0.803 0.750 0.554
```

***

Model C:
Entry from the Alexandria database: an optimized crystal structure of CoBr3Cl (PBE).

Structure (CIF):
```
data_CoBr3Cl
_symmetry_space_group_name_H-M 'P 1'
_symmetry_Int_Tables_number 1
_symmetry_space_group_name_Hall 'P 1'
_cell_length_a 13.686
_cell_length_b 13.686
_cell_length_c 13.686
_cell_angle_alpha 157.58
_cell_angle_beta 157.58
_cell_angle_gamma 31.91
loop_
_atom_site_label
_atom_site_fract_x
_atom_site_fract_y
_atom_site_fract_z
Co1 0.000 0.000 0.000
Co2 0.750 0.250 0.500
Br1 0.268 0.268 0.000
Br2 0.328 0.073 0.256
Br3 0.732 0.732 0.000
Br4 0.817 0.073 0.744
Br5 0.927 0.183 0.256
Br6 0.927 0.672 0.744
Cl1 0.173 0.673 0.500
Cl2 0.327 0.827 0.500
```

***

Model D:
Entry from the Alexandria database: an optimized crystal structure of CoBr3Cl (PBE).

Structure (CIF):
```
data_CoBr3Cl
_symmetry_space_group_name_H-M 'P 1'
_symmetry_Int_Tables_number 1
_symmetry_space_group_name_Hall 'P 1'
_cell_length_a 9.078
_cell_length_b 9.078
_cell_length_c 9.078
_cell_angle_alpha 60.00
_cell_angle_beta 60.00
_cell_angle_gamma 60.00
loop_
_atom_site_label
_atom_site_fract_x
_atom_site_fract_y
_atom_site_fract_z
Co1 0.000 0.000 0.000
Co2 0.000 0.000 0.500
Co3 0.000 0.500 0.000
Co4 0.500 0.000 0.000
Br1 0.072 0.072 0.678
Br2 0.072 0.678 0.072
Br3 0.072 0.678 0.678
Br4 0.322 0.322 0.928
Br5 0.322 0.928 0.322
Br6 0.322 0.928 0.928
Br7 0.678 0.072 0.072
Br8 0.678 0.072 0.678
Br9 0.678 0.678 0.072
Br10 0.928 0.322 0.322
Br11 0.928 0.322 0.928
Br12 0.928 0.928 0.322
Cl1 0.000 0.500 0.500
Cl2 0.500 0.000 0.500
Cl3 0.500 0.500 0.000
Cl4 0.500 0.500 0.500
```

***

Relative energy table, unit kJ/mol of atoms: model A 25.5; model B 0.0; model C 34.1; model D 11.9

***

Model A:
Entry from the Alexandria database: an optimized crystal structure of CoBr3Cl (PBE).

Structure (CIF):
```
data_CoBr3Cl
_symmetry_space_group_name_H-M 'P 1'
_symmetry_Int_Tables_number 1
_symmetry_space_group_name_Hall 'P 1'
_cell_length_a 4.570
_cell_length_b 4.570
_cell_length_c 7.278
_cell_angle_alpha 90.00
_cell_angle_beta 90.00
_cell_angle_gamma 90.00
loop_
_atom_site_label
_atom_site_fract_x
_atom_site_fract_y
_atom_site_fract_z
Co1 0.000 0.000 0.000
Br1 0.000 0.000 0.690
Br2 0.000 0.500 0.121
Br3 0.500 0.000 0.121
Cl1 0.500 0.500 0.649
```

***

Model B:
Entry from the Alexandria database: an optimized crystal structure of CoBr3Cl (PBE).

Structure (CIF):
```
data_CoBr3Cl
_symmetry_space_group_name_H-M 'P 1'
_symmetry_Int_Tables_number 1
_symmetry_space_group_name_Hall 'P 1'
_cell_length_a 4.422
_cell_length_b 4.422
_cell_length_c 17.010
_cell_angle_alpha 90.00
_cell_angle_beta 90.00
_cell_angle_gamma 120.00
loop_
_atom_site_label
_atom_site_fract_x
_atom_site_fract_y
_atom_site_fract_z
Co1 0.333 0.667 0.250
Co2 0.667 0.333 0.750
Br1 0.000 0.000 0.250
Br2 0.000 0.000 0.750
Br3 0.333 0.667 0.117
Br4 0.333 0.667 0.383
Br5 0.667 0.333 0.617
Br6 0.667 0.333 0.883
Cl1 0.000 0.000 0.000
Cl2 0.000 0.000 0.500
```

***

Relative energy table, unit kJ/mol of atoms: model A 0.0; model B 3.8

***

Model A:
Entry from the Alexandria database: an optimized crystal structure of CoSe2BrCl (PBE).

Structure (CIF):
```
data_CoSe2BrCl
_symmetry_space_group_name_H-M 'P 1'
_symmetry_Int_Tables_number 1
_symmetry_space_group_name_Hall 'P 1'
_cell_length_a 4.673
_cell_length_b 4.673
_cell_length_c 4.967
_cell_angle_alpha 90.00
_cell_angle_beta 90.00
_cell_angle_gamma 90.00
loop_
_atom_site_label
_atom_site_fract_x
_atom_site_fract_y
_atom_site_fract_z
Co1 0.000 0.000 0.000
Se1 0.000 0.500 0.000
Se2 0.500 0.000 0.000
Br1 0.000 0.000 0.500
Cl1 0.500 0.500 0.500
```

***

Model B:
Entry from the Alexandria database: an optimized crystal structure of CoSe2BrCl (PBE).

Structure (CIF):
```
data_CoSe2BrCl
_symmetry_space_group_name_H-M 'P 1'
_symmetry_Int_Tables_number 1
_symmetry_space_group_name_Hall 'P 1'
_cell_length_a 5.025
_cell_length_b 5.025
_cell_length_c 5.122
_cell_angle_alpha 90.00
_cell_angle_beta 90.00
_cell_angle_gamma 90.00
loop_
_atom_site_label
_atom_site_fract_x
_atom_site_fract_y
_atom_site_fract_z
Co1 0.000 0.000 0.000
Se1 0.000 0.500 0.500
Se2 0.500 0.000 0.500
Br1 0.500 0.500 0.000
Cl1 0.500 0.500 0.500
```

***

Relative energy table, unit kJ/mol of atoms: model A 0.0; model B 85.2

***

Model A:
Entry from the Alexandria database: an optimized crystal structure of CrBrCl (PBE).

Structure (CIF):
```
data_CrBrCl
_symmetry_space_group_name_H-M 'P 1'
_symmetry_Int_Tables_number 1
_symmetry_space_group_name_Hall 'P 1'
_cell_length_a 4.763
_cell_length_b 6.521
_cell_length_c 6.688
_cell_angle_alpha 110.44
_cell_angle_beta 107.85
_cell_angle_gamma 95.57
loop_
_atom_site_label
_atom_site_fract_x
_atom_site_fract_y
_atom_site_fract_z
Cr1 0.000 0.000 0.000
Cr2 0.343 0.004 0.681
Br1 0.121 0.795 0.257
Br2 0.550 0.211 0.125
Cl1 0.573 0.704 0.728
Cl2 0.917 0.165 0.717
```

***

Model B:
Entry from the Alexandria database: an optimized crystal structure of CrBrCl (PBE).

Structure (CIF):
```
data_CrBrCl
_symmetry_space_group_name_H-M 'P 1'
_symmetry_Int_Tables_number 1
_symmetry_space_group_name_Hall 'P 1'
_cell_length_a 6.502
_cell_length_b 6.502
_cell_length_c 6.502
_cell_angle_alpha 90.00
_cell_angle_beta 90.00
_cell_angle_gamma 90.00
loop_
_atom_site_label
_atom_site_fract_x
_atom_site_fract_y
_atom_site_fract_z
Cr1 0.000 0.000 0.000
Cr2 0.000 0.500 0.500
Cr3 0.500 0.000 0.500
Cr4 0.500 0.500 0.000
Br1 0.250 0.250 0.250
Br2 0.250 0.750 0.750
Br3 0.750 0.250 0.750
Br4 0.750 0.750 0.250
Cl1 0.250 0.250 0.750
Cl2 0.250 0.750 0.250
Cl3 0.750 0.250 0.250
Cl4 0.750 0.750 0.750
```

***

Model C:
Entry from the Alexandria database: an optimized crystal structure of CrBrCl (PBE).

Structure (CIF):
```
data_CrBrCl
_symmetry_space_group_name_H-M 'P 1'
_symmetry_Int_Tables_number 1
_symmetry_space_group_name_Hall 'P 1'
_cell_length_a 4.061
_cell_length_b 6.413
_cell_length_c 6.754
_cell_angle_alpha 72.38
_cell_angle_beta 76.04
_cell_angle_gamma 88.64
loop_
_atom_site_label
_atom_site_fract_x
_atom_site_fract_y
_atom_site_fract_z
Cr1 0.000 0.000 0.000
Cr2 0.305 0.478 0.269
Br1 0.234 0.312 0.670
Br2 0.502 0.772 0.898
Cl1 0.790 0.265 0.188
Cl2 0.895 0.733 0.342
```

***

Relative energy table, unit kJ/mol of atoms: model A 1.7; model B 31.4; model C 0.0

***

Model A:
Entry from the Alexandria database: an optimized crystal structure of CrBrCl (PBE).

Structure (CIF):
```
data_CrBrCl
_symmetry_space_group_name_H-M 'P 1'
_symmetry_Int_Tables_number 1
_symmetry_space_group_name_Hall 'P 1'
_cell_length_a 3.517
_cell_length_b 8.034
_cell_length_c 14.262
_cell_angle_alpha 90.00
_cell_angle_beta 90.00
_cell_angle_gamma 90.00
loop_
_atom_site_label
_atom_site_fract_x
_atom_site_fract_y
_atom_site_fract_z
Cr1 0.000 0.000 0.000
Cr2 0.000 0.500 0.500
Cr3 0.500 0.000 0.500
Cr4 0.500 0.500 0.000
Br1 0.000 0.000 0.624
Br2 0.000 0.500 0.124
Br3 0.500 0.000 0.124
Br4 0.500 0.500 0.624
Cl1 0.000 0.000 0.389
Cl2 0.000 0.500 0.889
Cl3 0.500 0.000 0.889
Cl4 0.500 0.500 0.389
```

***

Model B:
Entry from the Alexandria database: an optimized crystal structure of CrBrCl (PBE).

Structure (CIF):
```
data_CrBrCl
_symmetry_space_group_name_H-M 'P 1'
_symmetry_Int_Tables_number 1
_symmetry_space_group_name_Hall 'P 1'
_cell_length_a 3.832
_cell_length_b 7.037
_cell_length_c 7.415
_cell_angle_alpha 64.27
_cell_angle_beta 75.32
_cell_angle_gamma 74.21
loop_
_atom_site_label
_atom_site_fract_x
_atom_site_fract_y
_atom_site_fract_z
Cr1 0.000 0.000 0.000
Cr2 0.343 0.428 0.887
Br1 0.364 0.048 0.227
Br2 0.563 0.144 0.726
Cl1 0.146 0.612 0.103
Cl2 0.848 0.601 0.701
```

***

Model C:
Entry from the Alexandria database: an optimized crystal structure of CrBrCl (PBE).

Structure (CIF):
```
data_CrBrCl
_symmetry_space_group_name_H-M 'P 1'
_symmetry_Int_Tables_number 1
_symmetry_space_group_name_Hall 'P 1'
_cell_length_a 7.856
_cell_length_b 7.616
_cell_length_c 7.830
_cell_angle_alpha 90.00
_cell_angle_beta 118.43
_cell_angle_gamma 90.00
loop_
_atom_site_label
_atom_site_fract_x
_atom_site_fract_y
_atom_site_fract_z
Cr1 0.136 0.000 0.071
Cr2 0.364 0.500 0.929
Cr3 0.636 0.500 0.071
Cr4 0.864 0.000 0.929
Br1 0.187 0.000 0.386
Br2 0.313 0.500 0.614
Br3 0.687 0.500 0.386
Br4 0.813 0.000 0.614
Cl1 0.250 0.250 0.000
Cl2 0.250 0.750 0.000
Cl3 0.750 0.250 0.000
Cl4 0.750 0.750 0.000
```

***

Relative energy table, unit kJ/mol of atoms: model A 0.0; model B 7.2; model C 29.0

***

Model A:
Entry from the Alexandria database: an optimized crystal structure of CrBrCl2 (PBE).

Structure (CIF):
```
data_CrBrCl2
_symmetry_space_group_name_H-M 'P 1'
_symmetry_Int_Tables_number 1
_symmetry_space_group_name_Hall 'P 1'
_cell_length_a 3.232
_cell_length_b 7.299
_cell_length_c 10.628
_cell_angle_alpha 90.00
_cell_angle_beta 90.00
_cell_angle_gamma 90.00
loop_
_atom_site_label
_atom_site_fract_x
_atom_site_fract_y
_atom_site_fract_z
Cr1 0.000 0.000 0.000
Cr2 0.500 0.500 0.000
Br1 0.000 0.000 0.500
Br2 0.500 0.500 0.500
Cl1 0.000 0.500 0.156
Cl2 0.000 0.500 0.844
Cl3 0.500 0.000 0.156
Cl4 0.500 0.000 0.844
```

***

Model B:
Entry from the Alexandria database: an optimized crystal structure of CrBrCl2 (PBE).

Structure (CIF):
```
data_CrBrCl2
_symmetry_space_group_name_H-M 'P 1'
_symmetry_Int_Tables_number 1
_symmetry_space_group_name_Hall 'P 1'
_cell_length_a 3.215
_cell_length_b 6.075
_cell_length_c 11.639
_cell_angle_alpha 90.00
_cell_angle_beta 90.00
_cell_angle_gamma 90.00
loop_
_atom_site_label
_atom_site_fract_x
_atom_site_fract_y
_atom_site_fract_z
Cr1 0.000 0.000 0.000
Cr2 0.500 0.500 0.500
Br1 0.000 0.000 0.500
Br2 0.500 0.500 0.000
Cl1 0.000 0.500 0.356
Cl2 0.000 0.500 0.644
Cl3 0.500 0.000 0.144
Cl4 0.500 0.000 0.856
```

***

Model C:
Entry from the Alexandria database: an optimized crystal structure of CrBrCl2 (PBE).

Structure (CIF):
```
data_CrBrCl2
_symmetry_space_group_name_H-M 'P 1'
_symmetry_Int_Tables_number 1
_symmetry_space_group_name_Hall 'P 1'
_cell_length_a 12.848
_cell_length_b 3.247
_cell_length_c 6.696
_cell_angle_alpha 90.00
_cell_angle_beta 119.65
_cell_angle_gamma 90.00
loop_
_atom_site_label
_atom_site_fract_x
_atom_site_fract_y
_atom_site_fract_z
Cr1 0.000 0.000 0.000
Cr2 0.500 0.500 0.000
Br1 0.348 0.000 0.708
Br2 0.848 0.500 0.708
Cl1 0.135 0.500 0.994
Cl2 0.495 0.000 0.258
Cl3 0.635 0.000 0.994
Cl4 0.995 0.500 0.258
```

***

Model D:
Entry from the Alexandria database: an optimized crystal structure of CrBrCl2 (PBE).

Structure (CIF):
```
data_CrBrCl2
_symmetry_space_group_name_H-M 'P 1'
_symmetry_Int_Tables_number 1
_symmetry_space_group_name_Hall 'P 1'
_cell_length_a 3.439
_cell_length_b 7.139
_cell_length_c 9.906
_cell_angle_alpha 90.00
_cell_angle_beta 90.00
_cell_angle_gamma 90.00
loop_
_atom_site_label
_atom_site_fract_x
_atom_site_fract_y
_atom_site_fract_z
Cr1 0.000 0.000 0.000
Cr2 0.500 0.500 0.000
Br1 0.000 0.500 0.178
Br2 0.500 0.000 0.178
Cl1 0.000 0.000 0.507
Cl2 0.000 0.500 0.841
Cl3 0.500 0.000 0.841
Cl4 0.500 0.500 0.507
```

***

Relative energy table, unit kJ/mol of atoms: model A 27.2; model B 17.1; model C 0.0; model D 45.3